# Li2UNi2O6 | Alexandria | PBE with a Hubbard U | optimized geometry
data_Li2UNi2O6
_chemical_formula_sum 'Li4 U2 Ni4 O12'
_cell_length_a 5.325
_cell_length_b 9.362
_cell_length_c 5.233
_cell_angle_alpha 90.00
_cell_angle_beta 106.16
_cell_angle_gamma 90.00
_symmetry_space_group_name_H-M 'C 1 2/m 1'
_symmetry_Int_Tables_number 12
loop_
_symmetry_equiv_pos_as_xyz
'x,y,z'
'-x,-y,-z'
'-x,y,-z'
'x,-y,z'
'x+1/2,y+1/2,z'
'-x+1/2,-y+1/2,-z'
'-x+1/2,y+1/2,-z'
'x+1/2,-y+1/2,z'
loop_
_atom_site_label
_atom_site_fract_x
_atom_site_fract_y
_atom_site_fract_z
Li1 0.000 0.221 0.000
U1 0.000 0.000 0.500
Ni1 0.000 0.334 0.500
O1 0.220 0.172 0.727
O2 0.234 0.500 0.710
# Crystal system: monoclinic
# Total DFT energy (no corrections): -72.8 eV per formula unit